# 1
Material: Pm2Y3Tm7
Method: DFT, PBE
State: relaxed

For the excess energy over the best structure of this formula in the dataset, the calculation gives 20.7 kJ/mol of atoms. The value obtained for the energy of formation from the pure elements is 0.323 eV per atom.

The structure belongs to space group P2/m (No. 10); the cell edges are 6.1020, 5.4689 and 12.1109 Å and the angles 90.00°, 92.54° and 90.00°. The inequivalent atoms are Pm at (0.0925, 0.0000, 0.2818), Y at (0.0000, 0.0000, 0.0000), Y at (0.4529, 0.5000, 0.3378), Tm at (0.0638, 0.5000, 0.8258), Tm at (0.2691, 0.0000, 0.5462), Tm at (0.4224, 0.0000, 0.8345) and Tm at (0.5000, 0.5000, 0.0000).


# 2
Material: CsSi2H
Method: DFT, PBE
State: relaxed

For the excess energy over the best structure of this formula in the dataset, the calculation gives 0.0 kJ/mol of atoms.

The structure belongs to space group I4_1/amd (No. 141, origin choice 2); the cell edges are 6.2780, 6.2780 and 8.8655 Å and the angles 90.00°, 90.00° and 90.00°. The inequivalent atoms are Cs at (0.0000, 0.2500, 0.3750), Si at (0.0000, 0.0000, 0.0000) and H at (0.0000, 0.2500, 0.8750).